## Co2TcNF (PBE with a Hubbard U)

Data for crystalline Co2TcNF at its relaxed geometry.

abc: 4.8922 4.8922 3.7323
angles: 90.00 90.00 90.00
Positions (direct):
Co: 0.0000 0.5000 0.0000
Co: 0.5000 0.0000 0.0000
Tc: 0.0000 0.0000 0.0000
N: 0.0000 0.0000 0.5000
F: 0.5000 0.5000 0.5000

Output
Its total energy is -0.1979 Ha/atom. For the size of the total moment, the calculation gives 5.84 μB/cell. As for the calculated density: 4.6 Mg/m³.